[1]
The following is a DFT calculation (meta-GGA SCAN) of a PBEsol-optimized structure of CuAg.

Lattice parameters (Å, degrees): 2.7529 4.5487 4.9196 108.12 106.25 90.00
Fractional positions:
Cu: 0.8586 0.6474 0.7173
Cu: 0.1414 0.3526 0.2827
Ag: 0.3875 0.1667 0.7750
Ag: 0.6125 0.8333 0.2250

## Properties
Calculated volume in Å³/atom: 14.0
Total magnetic moment in μB/cell: 0.0
Symmetry: C2/m
Formation energy from the elements in eV per atom: 0.1096
E_tot in eV per atom: -23.174


[2]
The following is a DFT calculation (meta-GGA SCAN) of a PBEsol-optimized structure of CuAg2.

Lattice parameters (Å, degrees): 2.7854 3.7774 4.8600 112.87 106.65 90.00
Fractional positions:
Ag: 0.8392 0.8392 0.6783
Ag: 0.1608 0.1608 0.3217
Cu: 0.5000 0.5000 0.0000

## Properties
Calculated volume in Å³/atom: 14.9
Total magnetic moment in μB/cell: 0.0
Symmetry: Immm
Formation energy from the elements in eV per atom: 0.1065
Energy above the most stable polymorph in this dataset in meV/atom: 29
E_tot in eV per atom: -25.871


[3]
The following is a DFT calculation (meta-GGA SCAN) of a PBEsol-optimized structure of DyCu4Ag.

Lattice parameters (Å, degrees): 4.9571 4.9571 4.9571 60.00 60.00 60.00
Fractional positions:
Dy: 0.0000 0.0000 0.0000
Cu: 0.8723 0.3759 0.3759
Cu: 0.3759 0.3759 0.3759
Cu: 0.3759 0.8723 0.3759
Cu: 0.3759 0.3759 0.8723
Ag: 0.7500 0.7500 0.7500

## Properties
Calculated volume in Å³/atom: 14.4
Total magnetic moment in μB/cell: 0.0
Symmetry: F-43m
Formation energy from the elements in eV per atom: -0.2559
E_tot in eV per atom: -23.583